VASP calculation (PBE) on Rb3Pr3TiSe8 after structural relaxation.

Properties
Crystal system ... trigonal
Space-group type ... R-3m
E_tot ... -0.187 hartree per atom

Cell lengths 8.491, 8.491, 9.547 Å; angles 116.41, 90.00, 120.00 degrees
Fractional positions:
Rb: 0.000 0.000 0.000
Rb: 0.000 0.500 0.000
Rb: 0.500 0.500 0.000
Pr: 0.500 0.000 0.500
Pr: 0.500 0.500 0.500
Pr: 0.000 0.500 0.500
Ti: 0.000 0.000 0.500
Se: 0.265 0.530 0.295
Se: 0.735 0.470 0.705
Se: 0.790 0.579 0.315
Se: 0.210 0.421 0.685
Se: 0.790 0.025 0.315
Se: 0.210 0.975 0.685
Se: 0.236 0.025 0.315
Se: 0.764 0.975 0.685



VASP calculation (PBE) on BeNiSe after structural relaxation.

Properties
Crystal system ... orthorhombic
Space-group type ... Ama2
E_tot ... -0.167 hartree per atom

Cell lengths 5.193, 5.193, 3.600 Å; angles 90.00, 90.02, 122.20 degrees
Fractional positions:
Be: 0.747 0.563 0.914
Be: 0.925 0.385 0.414
Se: 0.423 0.731 0.414
Se: 0.093 0.061 0.913
Ni: 0.458 0.293 0.414
Ni: 0.654 0.097 0.914